Material: NpTlGeCl6
Method: DFT, PBE-GGA
State: relaxed

As for the uncorrected formation energy: -1.2628 eV/atom. The total energy comes out at -4.708 eV per atom.

The structure belongs to space group P-31c (No. 163); the cell edges are 7.1423, 7.1423 and 13.8054 Å and the angles 90.00°, 90.00° and 120.00°. The inequivalent atoms are Np at (0.3333, 0.6667, 0.2500), Tl at (0.0000, 0.0000, 0.0000), Ge at (0.3333, 0.6667, 0.7500) and Cl at (0.0051, 0.3715, 0.6410).

Material: GeClO2
Method: DFT, PBE-GGA
State: relaxed

As for the uncorrected formation energy: -0.9342 eV/atom. The calculation puts the energy above the most stable polymorph in this dataset at 0 meV/atom. The total energy comes out at -5.029 eV per atom.

The structure belongs to space group R-3m (No. 166, hexagonal axes); the cell edges are 2.8587, 2.8587 and 25.0689 Å and the angles 90.00°, 90.00° and 120.00°. The inequivalent atoms are Ge at (0.0000, 0.0000, 0.0000), Cl at (0.0000, 0.0000, 0.5000) and O at (0.0000, 0.0000, 0.3727).

no.,total moment (μB/atom)
1,0.44
2,0.00